Entry 1:
Compound: TcB2Au
Source: OQMD
Functional: PBE
Structure: optimized geometry

```
data_TcB2Au
_chemical_formula_sum 'Tc4 B8 Au4'
_space_group_name_H-M_alt 'F -4 3 m'
_space_group_IT_number 216
_space_group_name_Hall 'F -4 2 3'
_cell_length_a 5.826
_cell_length_b 5.826
_cell_length_c 5.826
_cell_angle_alpha 90.00
_cell_angle_beta 90.00
_cell_angle_gamma 90.00
loop_
_atom_site_label
_atom_site_type_symbol
_atom_site_fract_x
_atom_site_fract_y
_atom_site_fract_z
_atom_site_occupancy
Tc1 Tc 0.000 0.000 0.000 1
B1 B 0.000 0.000 0.500 1
B2 B 0.250 0.250 0.750 1
Au1 Au 0.250 0.250 0.250 1
```

Computed properties:
* energy: -83.08 eV for the cell shown
* magnetic moment: 0.00 μB per atom

---

Entry 2:
Compound: AcB2Ir2
Source: OQMD
Functional: PBE
Structure: optimized geometry

```
data_AcB2Ir2
_chemical_formula_sum 'Ac8 B16 Ir16'
_space_group_name_H-M_alt 'F d d d'
_space_group_IT_number 70
_cell_length_a 6.216
_cell_length_b 9.582
_cell_length_c 10.795
_cell_angle_alpha 90.00
_cell_angle_beta 90.00
_cell_angle_gamma 90.00
loop_
_space_group_symop_operation_xyz
'x,y,z'
'-x,-y,-z'
'-x+1/4,-y+1/4,z'
'x+1/4,y+1/4,-z'
'x,-y+1/4,-z+1/4'
'-x,y+1/4,z+1/4'
'-x+1/4,y,-z+1/4'
'x+1/4,-y,z+1/4'
'x,y+1/2,z+1/2'
'-x,-y+1/2,-z+1/2'
'-x+1/4,-y+3/4,z+1/2'
'x+1/4,y+3/4,-z+1/2'
'x,-y+3/4,-z+3/4'
'-x,y+3/4,z+3/4'
'-x+1/4,y+1/2,-z+3/4'
'x+1/4,-y+1/2,z+3/4'
'x+1/2,y,z+1/2'
'-x+1/2,-y,-z+1/2'
'-x+3/4,-y+1/4,z+1/2'
'x+3/4,y+1/4,-z+1/2'
'x+1/2,-y+1/4,-z+3/4'
'-x+1/2,y+1/4,z+3/4'
'-x+3/4,y,-z+3/4'
'x+3/4,-y,z+3/4'
'x+1/2,y+1/2,z'
'-x+1/2,-y+1/2,-z'
'-x+3/4,-y+3/4,z'
'x+3/4,y+3/4,-z'
'x+1/2,-y+3/4,-z+1/4'
'-x+1/2,y+3/4,z+1/4'
'-x+3/4,y+1/2,-z+1/4'
'x+3/4,-y+1/2,z+1/4'
loop_
_atom_site_label
_atom_site_type_symbol
_atom_site_fract_x
_atom_site_fract_y
_atom_site_fract_z
_atom_site_occupancy
Ac1 Ac 0.125 0.125 0.125 1
B1 B 0.125 0.300 0.625 1
Ir1 Ir 0.125 0.125 0.494 1
```

Computed properties:
* energy: -308.60 eV for the cell shown
* magnetic moment: 0.00 μB per atom

---

Entry 3:
Compound: Li2Sc2FeSn2Pt
Source: OQMD
Functional: PBE
Structure: optimized geometry

```
data_Li2Sc2FeSn2Pt
_chemical_formula_sum 'Li2 Sc2 Fe1 Sn2 Pt1'
_space_group_name_H-M_alt 'P -4 m 2'
_space_group_IT_number 115
_cell_length_a 4.551
_cell_length_b 4.551
_cell_length_c 6.492
_cell_angle_alpha 90.00
_cell_angle_beta 90.00
_cell_angle_gamma 90.00
loop_
_space_group_symop_operation_xyz
'x,y,z'
'y,-x,-z'
'-x,-y,z'
'-y,x,-z'
'-x,y,z'
'-y,-x,-z'
'x,-y,z'
'y,x,-z'
loop_
_atom_site_label
_atom_site_type_symbol
_atom_site_fract_x
_atom_site_fract_y
_atom_site_fract_z
_atom_site_occupancy
Li1 Li 0.000 0.000 0.000 1
Li2 Li 0.500 0.500 0.500 1
Sc1 Sc 0.000 0.500 0.748 1
Fe1 Fe 0.000 0.000 0.500 1
Sn1 Sn 0.000 0.500 0.268 1
Pt1 Pt 0.500 0.500 0.000 1
```

Computed properties:
* energy: -43.72 eV for the cell shown
* magnetic moment: 0.22 μB per atom